# 1
The following is a DFT calculation (PBE-GGA) of a geometry-optimized DyZnP structure. Values from VASP.

Values from the calculation:
The value obtained for the total magnetic moment is 0.00 μB per formula unit. As for the volume: 22.39 Å³ per atom. The crystal system is orthorhombic. The value obtained for the formation energy is -654 meV/atom.

Geometry as Quantum ESPRESSO input:
```
&SYSTEM
  ibrav = 0, nat = 12, ntyp = 3
/
ATOMIC_SPECIES
Dy 162.50 Dy.upf
Zn 65.41 Zn.upf
P 30.97 P.upf
CELL_PARAMETERS angstrom
0.000 6.022 4.472
4.988 0.000 4.472
4.988 6.022 0.000
ATOMIC_POSITIONS angstrom
Dy 3.123 1.090 2.236
Dy 5.617 1.921 4.472
Dy 1.865 4.933 2.236
Dy 4.359 10.123 4.472
Zn 4.238 4.942 4.778
Zn 5.737 7.103 4.778
Zn 8.231 7.953 7.014
Zn 6.732 10.114 7.014
P 4.300 3.604 2.708
P 8.169 6.615 4.944
P 5.676 8.441 2.708
P 1.806 5.430 4.944
```



# 2
The following is a DFT calculation (PBE-GGA) of a geometry-optimized CeTaCo2 structure. Values from VASP.

Values from the calculation:
The offset from the most stable computed form comes out at 37 kJ/mol of formula units. The value obtained for the total magnetic moment is 0.00 μB per formula unit. As for the volume: 17.71 Å³ per atom. The crystal system is trigonal. The value obtained for the formation energy is -77 meV/atom.

Geometry as Quantum ESPRESSO input:
```
&SYSTEM
  ibrav = 0, nat = 4, ntyp = 3
/
ATOMIC_SPECIES
Ce 140.12 Ce.upf
Ta 180.95 Ta.upf
Co 58.93 Co.upf
CELL_PARAMETERS angstrom
2.080 1.201 4.729
-2.080 1.201 4.729
0.000 -2.401 4.729
ATOMIC_POSITIONS angstrom
Ce 0.000 0.000 0.000
Ta 0.000 0.000 7.094
Co 0.000 0.000 3.034
Co 0.000 0.000 11.153
```